# 1
VASP calculation (PBE) on crystalline ErGaAsO at its relaxed geometry. Values from VASP.

Computed properties:
Energy above the most stable polymorph in this dataset (meV/atom): 933
VASP energy (eV/atom): -4.979
SG: P4/nmm (129)

Structure (Quantum ESPRESSO input):
```
&SYSTEM
  ibrav = 0, nat = 8, ntyp = 4
/
ATOMIC_SPECIES
Er 167.26 Er.upf
Ga 69.72 Ga.upf
As 74.92 As.upf
O 16.00 O.upf
ATOMIC_POSITIONS crystal
Er 0.250 0.750 0.000
Er 0.750 0.250 0.000
Ga 0.250 0.250 0.453
Ga 0.750 0.750 0.547
As 0.250 0.250 0.187
As 0.750 0.750 0.813
O 0.250 0.750 0.500
O 0.750 0.250 0.500
CELL_PARAMETERS angstrom
4.319 0.000 0.000
0.000 4.319 0.000
0.000 0.000 9.399
```

***

# 2
VASP calculation (PBE) on crystalline ErGaAsO at its relaxed geometry. Values from VASP.

Computed properties:
Energy above the most stable polymorph in this dataset (meV/atom): 0
VASP energy (eV/atom): -5.912
SG: P4/nmm (129)

Structure (Quantum ESPRESSO input):
```
&SYSTEM
  ibrav = 0, nat = 8, ntyp = 4
/
ATOMIC_SPECIES
Er 167.26 Er.upf
Ga 69.72 Ga.upf
As 74.92 As.upf
O 16.00 O.upf
ATOMIC_POSITIONS crystal
Er 0.250 0.250 0.112
Er 0.750 0.750 0.888
Ga 0.250 0.750 0.500
Ga 0.750 0.250 0.500
As 0.250 0.250 0.692
As 0.750 0.750 0.308
O 0.250 0.750 0.000
O 0.750 0.250 0.000
CELL_PARAMETERS angstrom
4.006 0.000 0.000
0.000 4.006 0.000
0.000 0.000 9.166
```

***

# 3
VASP calculation (PBE) on crystalline ErGaAsO at its relaxed geometry. Values from VASP.

Computed properties:
Energy above the most stable polymorph in this dataset (meV/atom): 245
VASP energy (eV/atom): -5.667
SG: Pmc2_1 (26)

Structure (Quantum ESPRESSO input):
```
&SYSTEM
  ibrav = 0, nat = 8, ntyp = 4
/
ATOMIC_SPECIES
Er 167.26 Er.upf
Ga 69.72 Ga.upf
As 74.92 As.upf
O 16.00 O.upf
ATOMIC_POSITIONS crystal
Er 0.000 0.196 0.000
Er 0.000 0.804 0.500
Ga 0.500 0.397 0.618
Ga 0.500 0.603 0.118
As 0.000 0.219 0.487
As 0.000 0.781 0.987
O 0.500 0.326 0.979
O 0.500 0.674 0.479
CELL_PARAMETERS angstrom
4.031 0.000 0.000
0.000 6.801 0.000
0.000 0.000 5.874
```

***

# 4
VASP calculation (PBE) on crystalline GdErAsO at its relaxed geometry. Values from VASP.

Computed properties:
Energy above the most stable polymorph in this dataset (meV/atom): 67
VASP energy (eV/atom): -6.619
SG: P4/nmm (129)

Structure (Quantum ESPRESSO input):
```
&SYSTEM
  ibrav = 0, nat = 8, ntyp = 4
/
ATOMIC_SPECIES
Gd 157.25 Gd.upf
Er 167.26 Er.upf
As 74.92 As.upf
O 16.00 O.upf
ATOMIC_POSITIONS crystal
Gd 0.250 0.250 0.104
Gd 0.750 0.750 0.896
Er 0.250 0.750 0.500
Er 0.750 0.250 0.500
As 0.250 0.250 0.701
As 0.750 0.750 0.299
O 0.250 0.750 0.000
O 0.750 0.250 0.000
CELL_PARAMETERS angstrom
4.336 0.000 0.000
0.000 4.336 0.000
0.000 0.000 8.801
```

***

# 5
VASP calculation (PBE) on crystalline GdErAsO at its relaxed geometry. Values from VASP.

Computed properties:
Energy above the most stable polymorph in this dataset (meV/atom): 68
VASP energy (eV/atom): -6.619
SG: P4/nmm (129)

Structure (Quantum ESPRESSO input):
```
&SYSTEM
  ibrav = 0, nat = 8, ntyp = 4
/
ATOMIC_SPECIES
Gd 157.25 Gd.upf
Er 167.26 Er.upf
As 74.92 As.upf
O 16.00 O.upf
ATOMIC_POSITIONS crystal
Gd 0.250 0.250 0.105
Gd 0.750 0.750 0.895
Er 0.250 0.750 0.500
Er 0.750 0.250 0.500
As 0.250 0.250 0.702
As 0.750 0.750 0.298
O 0.250 0.750 0.000
O 0.750 0.250 0.000
CELL_PARAMETERS angstrom
4.330 0.000 0.000
0.000 4.330 0.000
0.000 0.000 8.819
```

***

# 6
VASP calculation (PBE) on crystalline GdErAsO at its relaxed geometry. Values from VASP.

Computed properties:
Energy above the most stable polymorph in this dataset (meV/atom): 134
VASP energy (eV/atom): -6.553
SG: P4/nmm (129)

Structure (Quantum ESPRESSO input):
```
&SYSTEM
  ibrav = 0, nat = 8, ntyp = 4
/
ATOMIC_SPECIES
Gd 157.25 Gd.upf
Er 167.26 Er.upf
As 74.92 As.upf
O 16.00 O.upf
ATOMIC_POSITIONS crystal
Gd 0.250 0.750 0.000
Gd 0.750 0.250 0.000
Er 0.250 0.250 0.403
Er 0.750 0.750 0.597
As 0.250 0.250 0.788
As 0.750 0.750 0.212
O 0.250 0.750 0.500
O 0.750 0.250 0.500
CELL_PARAMETERS angstrom
4.301 0.000 0.000
0.000 4.301 0.000
0.000 0.000 8.851
```

***

# 7
VASP calculation (PBE) on crystalline GdErAsO at its relaxed geometry. Values from VASP.

Computed properties:
Energy above the most stable polymorph in this dataset (meV/atom): 32
VASP energy (eV/atom): -6.654
SG: Pmc2_1 (26)

Structure (Quantum ESPRESSO input):
```
&SYSTEM
  ibrav = 0, nat = 8, ntyp = 4
/
ATOMIC_SPECIES
Gd 157.25 Gd.upf
Er 167.26 Er.upf
As 74.92 As.upf
O 16.00 O.upf
ATOMIC_POSITIONS crystal
Gd 0.000 0.117 0.000
Gd 0.000 0.883 0.500
Er 0.500 0.287 0.440
Er 0.500 0.713 0.940
As 0.500 0.350 0.932
As 0.500 0.650 0.432
O 0.000 0.176 0.387
O 0.000 0.824 0.887
CELL_PARAMETERS angstrom
4.130 0.000 0.000
0.000 7.704 0.000
0.000 0.000 5.786
```

***

# 8
VASP calculation (PBE) on crystalline GdErAsO at its relaxed geometry. Values from VASP.

Computed properties:
Energy above the most stable polymorph in this dataset (meV/atom): 0
VASP energy (eV/atom): -6.686
SG: Pmc2_1 (26)

Structure (Quantum ESPRESSO input):
```
&SYSTEM
  ibrav = 0, nat = 8, ntyp = 4
/
ATOMIC_SPECIES
Gd 157.25 Gd.upf
Er 167.26 Er.upf
As 74.92 As.upf
O 16.00 O.upf
ATOMIC_POSITIONS crystal
Gd 0.000 0.207 0.000
Gd 0.000 0.793 0.500
Er 0.500 0.392 0.580
Er 0.500 0.608 0.080
As 0.000 0.170 0.490
As 0.000 0.830 0.990
O 0.500 0.332 0.939
O 0.500 0.668 0.439
CELL_PARAMETERS angstrom
4.186 0.000 0.000
0.000 7.503 0.000
0.000 0.000 5.982
```

***

# 9
VASP calculation (PBE) on crystalline GdErZn2As2O2 at its relaxed geometry. Values from VASP.

Computed properties:
VASP energy (eV/atom): -5.700
SG: P4mm (99)

Structure (Quantum ESPRESSO input):
```
&SYSTEM
  ibrav = 0, nat = 8, ntyp = 5
/
ATOMIC_SPECIES
Gd 157.25 Gd.upf
Er 167.26 Er.upf
Zn 65.41 Zn.upf
As 74.92 As.upf
O 16.00 O.upf
ATOMIC_POSITIONS crystal
Gd 0.000 0.000 0.000
Er 0.500 0.500 0.754
Zn 0.000 0.500 0.375
Zn 0.500 0.000 0.375
As 0.000 0.000 0.558
As 0.500 0.500 0.191
O 0.000 0.500 0.872
O 0.500 0.000 0.872
CELL_PARAMETERS angstrom
3.951 0.000 0.000
0.000 3.951 0.000
0.000 0.000 8.906
```

***

# 10
VASP calculation (PBE) on crystalline ErGeAs at its relaxed geometry. Values from VASP.

Computed properties:
Energy above the most stable polymorph in this dataset (meV/atom): 0
VASP energy (eV/atom): -4.962
SG: F-43m (216)

Structure (Quantum ESPRESSO input):
```
&SYSTEM
  ibrav = 0, nat = 3, ntyp = 3
/
ATOMIC_SPECIES
Er 167.26 Er.upf
Ge 72.64 Ge.upf
As 74.92 As.upf
ATOMIC_POSITIONS crystal
Er 0.000 0.000 0.000
Ge 0.500 0.500 0.500
As 0.250 0.250 0.250
CELL_PARAMETERS angstrom
0.000 3.332 3.332
3.332 0.000 3.332
3.332 3.332 0.000
```

***

# 11
VASP calculation (PBE) on crystalline ErGeAsO at its relaxed geometry. Values from VASP.

Computed properties:
Energy above the most stable polymorph in this dataset (meV/atom): 507
VASP energy (eV/atom): -5.683
SG: P4/nmm (129)

Structure (Quantum ESPRESSO input):
```
&SYSTEM
  ibrav = 0, nat = 8, ntyp = 4
/
ATOMIC_SPECIES
Er 167.26 Er.upf
Ge 72.64 Ge.upf
As 74.92 As.upf
O 16.00 O.upf
ATOMIC_POSITIONS crystal
Er 0.250 0.750 0.000
Er 0.750 0.250 0.000
Ge 0.250 0.250 0.495
Ge 0.750 0.750 0.505
As 0.250 0.250 0.994
As 0.750 0.750 0.006
O 0.250 0.750 0.500
O 0.750 0.250 0.500
CELL_PARAMETERS angstrom
5.623 0.000 0.000
0.000 5.623 0.000
0.000 0.000 4.875
```

***

# 12
VASP calculation (PBE) on crystalline ErGeAsO at its relaxed geometry. Values from VASP.

Computed properties:
Energy above the most stable polymorph in this dataset (meV/atom): 173
VASP energy (eV/atom): -6.017
SG: Pmc2_1 (26)

Structure (Quantum ESPRESSO input):
```
&SYSTEM
  ibrav = 0, nat = 8, ntyp = 4
/
ATOMIC_SPECIES
Er 167.26 Er.upf
Ge 72.64 Ge.upf
As 74.92 As.upf
O 16.00 O.upf
ATOMIC_POSITIONS crystal
Er 0.000 0.240 0.000
Er 0.000 0.760 0.500
Ge 0.500 0.376 0.379
Ge 0.500 0.624 0.879
As 0.500 0.071 0.700
As 0.500 0.929 0.200
O 0.000 0.431 0.315
O 0.000 0.569 0.815
CELL_PARAMETERS angstrom
4.178 0.000 0.000
0.000 5.769 0.000
0.000 0.000 6.050
```